Record 1
Below is crystalline Th2TlCu at its relaxed geometry, with properties calculated at the PBE-GGA level.

## Properties
Magnetic moment (μB/atom): 0.0000
Calculated formation energy (eV per atom): 0.2140
Energy above the lowest structure with this stoichiometry (eV per formula unit): 1.201

CIF file:
```
data_Th2TlCu
_symmetry_space_group_name_H-M 'R -3 m'
_symmetry_Int_Tables_number 166
_symmetry_space_group_name_Hall '-R 3 2"'
_cell_length_a 3.5058
_cell_length_b 3.5058
_cell_length_c 33.1621
_cell_angle_alpha 90.00
_cell_angle_beta 90.00
_cell_angle_gamma 120.00
loop_
_atom_site_label
_atom_site_type_symbol
_atom_site_fract_x
_atom_site_fract_y
_atom_site_fract_z
Th1 Th 0.0000 0.0000 0.1016
Tl1 Tl 0.0000 0.0000 0.0000
Cu1 Cu 0.0000 0.0000 0.5000
```


Record 2
Below is crystalline Th2TlCu at its relaxed geometry, with properties calculated at the PBE-GGA level.

## Properties
Magnetic moment (μB/atom): 0.0000
Calculated formation energy (eV per atom): -0.0863
Energy above the lowest structure with this stoichiometry (eV per formula unit): 0.000

CIF file:
```
data_Th2TlCu
_symmetry_space_group_name_H-M 'P 4/m m m'
_symmetry_Int_Tables_number 123
_symmetry_space_group_name_Hall '-P 4 2'
_cell_length_a 3.430
_cell_length_b 3.430
_cell_length_c 8.814
_cell_angle_alpha 90.00
_cell_angle_beta 90.00
_cell_angle_gamma 90.00
loop_
_atom_site_label
_atom_site_type_symbol
_atom_site_fract_x
_atom_site_fract_y
_atom_site_fract_z
Th1 Th 0.000 0.000 0.218
Tl1 Tl 0.500 0.500 0.500
Cu1 Cu 0.500 0.500 0.000
```


Record 3
Below is crystalline Th4TlCu2 at its relaxed geometry, with properties calculated at the PBE-GGA level.

## Properties
Magnetic moment (μB/atom): 0.0000
Calculated formation energy (eV per atom): 0.0592

CIF file:
```
data_Th4TlCu2
_symmetry_space_group_name_H-M 'R -3 m'
_symmetry_Int_Tables_number 166
_symmetry_space_group_name_Hall '-R 3 2"'
_cell_length_a 3.6105
_cell_length_b 3.6105
_cell_length_c 50.7378
_cell_angle_alpha 90.00
_cell_angle_beta 90.00
_cell_angle_gamma 120.00
loop_
_atom_site_label
_atom_site_type_symbol
_atom_site_fract_x
_atom_site_fract_y
_atom_site_fract_z
Th1 Th 0.0000 0.0000 0.1126
Th2 Th 0.0000 0.0000 0.3040
Tl1 Tl 0.0000 0.0000 0.5000
Cu1 Cu 0.0000 0.0000 0.4049
```